Entry 1:
8
Lattice="5.987 0.000 0.000 2.993 4.673 0.000 2.993 0.000 4.673" Properties=species:S:1:pos:R:3 comment="K2NiAgO4 (PBE with a Hubbard U, optimized geometry)" volume_a3_per_cell=130.7 dos_at_fermi_per_ev_fu=2.040 crystal_system=tetragonal pbc="T T T"
K 2.993 2.337 2.337
K 5.987 2.337 2.337
Ni 0.000 0.000 0.000
Ag 2.993 0.000 0.000
O 1.297 1.361 0.000
O 7.682 0.000 3.312
O 4.689 0.000 1.361
O 4.291 3.312 0.000

***

Entry 2:
38
Lattice="13.033 0.000 0.000 -6.517 11.287 0.000 0.000 0.000 3.902" Properties=species:S:1:pos:R:3 comment="LaW9O28 (PBE with a Hubbard U, optimized geometry)" volume_a3_per_cell=574.0 dos_at_fermi_per_ev_fu=3.861 crystal_system=hexagonal pbc="T T T"
La 0.000 0.000 3.886
W -3.258 5.644 3.882
W -3.232 9.391 0.005
W 0.000 3.793 0.005
W 3.258 5.644 3.882
W 6.517 0.000 3.882
W 3.232 9.391 0.005
W 6.517 7.495 0.005
W 9.749 1.896 0.005
W 3.285 1.896 0.005
O 9.311 3.760 3.897
O 7.911 6.183 3.897
O -3.258 5.644 1.943
O -2.794 7.527 3.897
O -1.395 5.104 3.897
O -3.252 9.403 1.948
O 0.000 3.769 1.948
O 1.395 5.104 3.897
O -1.399 9.943 3.897
O 3.723 3.760 3.897
O 5.118 1.344 3.897
O 3.258 5.644 1.943
O 6.517 0.000 1.943
O 1.399 9.943 3.897
O 2.794 7.527 3.897
O 3.253 9.403 1.948
O 5.122 6.183 3.897
O 7.916 1.344 3.897
O 5.156 8.930 3.898
O 10.311 0.000 3.898
O 6.517 7.518 1.948
O 9.769 1.885 1.948
O -5.156 8.930 3.898
O 0.000 0.000 1.935
O -1.361 2.357 3.898
O 2.722 0.000 3.898
O 1.361 2.357 3.898
O 3.264 1.885 1.948

***

Total energy, record by record: -4.019 -7.557 eV/atom